Run w
# PBE-GGA LaTbCo2Si4, relaxed
# Total moment ... 0.10 μB per atom
# Calculated volume ... 136.57 Å³/cell
data_LaTbCo2Si4
_chemical_formula_sum 'La1 Tb1 Co2 Si4'
_space_group_name_H-M_alt 'P 1 m 1'
_space_group_IT_number 6
_cell_length_a 4.2998
_cell_length_b 4.0228
_cell_length_c 8.1122
_cell_angle_alpha 90.00
_cell_angle_beta 103.27
_cell_angle_gamma 90.00
loop_
_space_group_symop_operation_xyz
'x,y,z'
'x,-y,z'
loop_
_atom_site_label
_atom_site_type_symbol
_atom_site_fract_x
_atom_site_fract_y
_atom_site_fract_z
_atom_site_occupancy
La1 La 0.0000 0.0000 0.0000 1
Tb1 Tb 0.8010 0.5000 0.5931 1
Co1 Co 0.2817 0.0000 0.4154 1
Co2 Co 0.5335 0.5000 0.1872 1
Si1 Si 0.0874 0.5000 0.2965 1
Si2 Si 0.3545 0.0000 0.7018 1
Si3 Si 0.4448 0.5000 0.8865 1
Si4 Si 0.7274 0.0000 0.3111 1

=====

Run x
# PBE-GGA LaTbCo2Si4, relaxed
# Total moment ... 0.00 μB per atom
# Calculated volume ... 273.23 Å³/cell
data_LaTbCo2Si4
_chemical_formula_sum 'La2 Tb2 Co4 Si8'
_space_group_name_H-M_alt 'A m m 2'
_space_group_IT_number 38
_cell_length_a 4.0356
_cell_length_b 4.1241
_cell_length_c 16.4168
_cell_angle_alpha 90.00
_cell_angle_beta 90.00
_cell_angle_gamma 90.00
loop_
_space_group_symop_operation_xyz
'x,y,z'
'-x,-y,z'
'-x,y,z'
'x,-y,z'
'x,y+1/2,z+1/2'
'-x,-y+1/2,z+1/2'
'-x,y+1/2,z+1/2'
'x,-y+1/2,z+1/2'
loop_
_atom_site_label
_atom_site_type_symbol
_atom_site_fract_x
_atom_site_fract_y
_atom_site_fract_z
_atom_site_occupancy
La1 La 0.0000 0.0000 0.0000 1
Tb1 Tb 0.5000 0.0000 0.2159 1
Co1 Co 0.0000 0.0000 0.7871 1
Co2 Co 0.5000 0.0000 0.4263 1
Si1 Si 0.0000 0.0000 0.3543 1
Si2 Si 0.0000 0.0000 0.6523 1
Si3 Si 0.5000 0.0000 0.5664 1
Si4 Si 0.5000 0.0000 0.8548 1

=====

Relative to the most stable one, in kJ/mol of atoms, the structures come out at run w 0.9; run x 0.0.

=====

Run w
# PBE-GGA LaTlCoTe3, relaxed
# Total moment ... 0.40 μB per atom
# Calculated volume ... 748.31 Å³/cell
data_LaTlCoTe3
_chemical_formula_sum 'La4 Tl4 Co4 Te12'
_space_group_name_H-M_alt 'P n m a'
_space_group_IT_number 62
_cell_length_a 12.4729
_cell_length_b 4.4778
_cell_length_c 13.3983
_cell_angle_alpha 90.00
_cell_angle_beta 90.00
_cell_angle_gamma 90.00
loop_
_space_group_symop_operation_xyz
'x,y,z'
'-x,-y,-z'
'-x+1/2,-y,z+1/2'
'x+1/2,y,-z+1/2'
'x+1/2,-y+1/2,-z+1/2'
'-x+1/2,y+1/2,z+1/2'
'-x,y+1/2,-z'
'x,-y+1/2,z'
loop_
_atom_site_label
_atom_site_type_symbol
_atom_site_fract_x
_atom_site_fract_y
_atom_site_fract_z
_atom_site_occupancy
La1 La 0.0211 0.2500 0.1741 1
Tl1 Tl 0.1708 0.2500 0.5008 1
Co1 Co 0.2505 0.2500 0.7968 1
Te1 Te 0.0505 0.7500 0.3436 1
Te2 Te 0.1183 0.2500 0.9441 1
Te3 Te 0.2161 0.7500 0.7070 1

=====

Run x
# PBE-GGA LaTlCoTe3, relaxed
# Total moment ... 0.49 μB per atom
# Calculated volume ... 818.95 Å³/cell
data_LaTlCoTe3
_chemical_formula_sum 'La4 Tl4 Co4 Te12'
_space_group_name_H-M_alt 'C m c m'
_space_group_IT_number 63
_space_group_name_Hall '-C 2c 2'
_cell_length_a 4.3955
_cell_length_b 15.5583
_cell_length_c 11.9755
_cell_angle_alpha 90.00
_cell_angle_beta 90.00
_cell_angle_gamma 90.00
loop_
_atom_site_label
_atom_site_type_symbol
_atom_site_fract_x
_atom_site_fract_y
_atom_site_fract_z
_atom_site_occupancy
La1 La 0.0000 0.0000 0.0000 1
Tl1 Tl 0.0000 0.2459 0.2500 1
Co1 Co 0.0000 0.4737 0.7500 1
Te1 Te 0.0000 0.0721 0.7500 1
Te2 Te 0.0000 0.3667 0.5843 1

=====

Relative to the most stable one, in kJ/mol of atoms, the structures come out at run w 0.0; run x 1.1.